[1]
# PBE-GGA TbInSnRu, relaxed
data_TbInSnRu
_chemical_formula_sum 'Tb1 In1 Sn1 Ru1'
_cell_length_a 4.902
_cell_length_b 4.902
_cell_length_c 4.902
_cell_angle_alpha 60.00
_cell_angle_beta 60.00
_cell_angle_gamma 60.00
_symmetry_space_group_name_H-M 'P 1'
_symmetry_Int_Tables_number 1
loop_
_symmetry_equiv_pos_as_xyz
'x,y,z'
loop_
_atom_site_label
_atom_site_type_symbol
_atom_site_fract_x
_atom_site_fract_y
_atom_site_fract_z
Tb1 Tb 0.000 0.000 0.000
In1 In 0.750 0.750 0.750
Sn1 Sn 0.250 0.250 0.250
Ru1 Ru 0.500 0.500 0.500
# Energy relative to the elements: -225 meV per atom
# ρ: 9839 kg/m³
# E: -0.198 Ha/atom



[2]
# PBE-GGA InSn2TeRu, relaxed
data_InSn2TeRu
_chemical_formula_sum 'In1 Sn2 Te1 Ru1'
_cell_length_a 5.150
_cell_length_b 5.150
_cell_length_c 5.220
_cell_angle_alpha 90.00
_cell_angle_beta 90.00
_cell_angle_gamma 90.00
_symmetry_space_group_name_H-M 'P 1'
_symmetry_Int_Tables_number 1
loop_
_symmetry_equiv_pos_as_xyz
'x,y,z'
loop_
_atom_site_label
_atom_site_type_symbol
_atom_site_fract_x
_atom_site_fract_y
_atom_site_fract_z
In1 In 0.000 0.000 0.000
Sn1 Sn 0.000 0.500 0.500
Sn2 Sn 0.500 0.000 0.500
Te1 Te 0.500 0.500 0.000
Ru1 Ru 0.000 0.000 0.500
# Formation energy from raw total energies: -23.6 kJ/mol of formula units
# ρ: 6968 kg/m³
# E: -0.172 Ha/atom